An optimized crystal structure of Ca3Ga2Hg4, computed with PBE-GGA.

Lattice parameters (Å, degrees): 4.8198 6.0712 9.1352 113.53 90.00 113.39
Atoms (fractional coordinates):
Hg 0.7078 0.4157 0.0535
Hg 0.2922 0.5843 0.9465
Hg 0.0745 0.1489 0.3990
Hg 0.9255 0.8511 0.6010
Ga 0.6175 0.2350 0.2855
Ga 0.3825 0.7650 0.7145
Ca 0.3404 0.6808 0.3292
Ca 0.6596 0.3192 0.6708
Ca 0.0000 0.0000 0.0000

Summary:
**E_tot**: -1.94 eV per atom
**Fermi-level density of states**: 2.73 states/eV per cell
**E_form**: -468.3 meV per atom